No. 1
The following is a PBE calculation of Lu4CoBi2 after structural relaxation, from Alexandria. Values from VASP.

Summary:
VASP energy in eV/cell: -35.98
Spin magnetization in μB per formula unit: 0.0
Calculated formation energy in kJ/mol of formula units: -292.2
Space group: I4/mmm (139)

Structure (Quantum ESPRESSO input):
```
&SYSTEM
  ibrav = 0, nat = 7, ntyp = 3
/
ATOMIC_SPECIES
Lu 174.97 Lu.upf
Co 58.93 Co.upf
Bi 208.98 Bi.upf
ATOMIC_POSITIONS crystal
Lu 0.000 0.500 0.500
Lu 0.163 0.163 0.000
Lu 0.500 0.000 0.500
Lu 0.837 0.837 0.000
Co 0.000 0.000 0.000
Bi 0.356 0.356 0.000
Bi 0.644 0.644 0.000
CELL_PARAMETERS angstrom
-2.457 2.457 8.043
2.457 -2.457 8.043
2.457 2.457 -8.043
```

---

No. 2
The following is a PBE calculation of LiLaPrTc after structural relaxation, from Alexandria. Values from VASP.

Summary:
VASP energy in eV/cell: -21.66
Spin magnetization in μB per formula unit: 0.0
Calculated formation energy in kJ/mol of formula units: 31.9
Space group: F-43m (216)

Structure (Quantum ESPRESSO input):
```
&SYSTEM
  ibrav = 0, nat = 4, ntyp = 4
/
ATOMIC_SPECIES
Li 6.94 Li.upf
La 138.91 La.upf
Pr 140.91 Pr.upf
Tc 98.00 Tc.upf
ATOMIC_POSITIONS crystal
Li 0.000 0.000 0.000
La 0.250 0.250 0.250
Pr 0.750 0.750 0.750
Tc 0.500 0.500 0.500
CELL_PARAMETERS angstrom
0.000 3.627 3.627
3.627 0.000 3.627
3.627 3.627 0.000
```

---

No. 3
The following is a PBE calculation of Tm2CuSe after structural relaxation, from Alexandria. Values from VASP.

Summary:
VASP energy in eV/cell: -41.03
Spin magnetization in μB per formula unit: 0.0
Excess energy over the best structure of this formula in the dataset in meV per atom: 0
Space group: Cmcm (63)

Structure (Quantum ESPRESSO input):
```
&SYSTEM
  ibrav = 0, nat = 8, ntyp = 3
/
ATOMIC_SPECIES
Tm 168.93 Tm.upf
Cu 63.55 Cu.upf
Se 78.96 Se.upf
ATOMIC_POSITIONS crystal
Tm 0.066 0.934 0.750
Tm 0.323 0.677 0.750
Tm 0.677 0.323 0.250
Tm 0.934 0.066 0.250
Cu 0.461 0.539 0.750
Cu 0.539 0.461 0.250
Se 0.194 0.806 0.750
Se 0.806 0.194 0.250
CELL_PARAMETERS angstrom
1.967 -11.196 0.000
1.967 11.196 0.000
0.000 0.000 4.010
```

---

No. 4
The following is a PBE calculation of ZrI after structural relaxation, from Alexandria. Values from VASP.

Summary:
VASP energy in eV/cell: -39.94
Spin magnetization in μB per formula unit: 0.0
Space group: I-43m (217)

Structure (Quantum ESPRESSO input):
```
&SYSTEM
  ibrav = 0, nat = 8, ntyp = 2
/
ATOMIC_SPECIES
Zr 91.22 Zr.upf
I 126.90 I.upf
ATOMIC_POSITIONS crystal
Zr 0.000 0.000 0.775
Zr 0.000 0.775 0.000
Zr 0.225 0.225 0.225
Zr 0.775 0.000 0.000
I 0.000 0.000 0.387
I 0.000 0.387 0.000
I 0.387 0.000 0.000
I 0.613 0.613 0.613
CELL_PARAMETERS angstrom
-4.556 4.556 4.556
4.556 -4.556 4.556
4.556 4.556 -4.556
```

---

No. 5
The following is a PBE calculation of NaPmSc after structural relaxation, from Alexandria. Values from VASP.

Summary:
VASP energy in eV/cell: -11.87
Spin magnetization in μB per formula unit: 0.5
Excess energy over the best structure of this formula in the dataset in meV per atom: 0
Calculated formation energy in kJ/mol of formula units: 51.6
Space group: P3m1 (156)

Structure (Quantum ESPRESSO input):
```
&SYSTEM
  ibrav = 0, nat = 3, ntyp = 3
/
ATOMIC_SPECIES
Na 22.99 Na.upf
Pm 145.00 Pm.upf
Sc 44.96 Sc.upf
ATOMIC_POSITIONS crystal
Na 0.000 0.000 0.000
Pm 0.333 0.667 0.634
Sc 0.667 0.333 0.340
CELL_PARAMETERS angstrom
3.466 0.000 0.000
-1.733 3.001 0.000
0.000 0.000 8.945
```

---

No. 6
The following is a PBE calculation of VSb2W after structural relaxation, from Alexandria. Values from VASP.

Summary:
VASP energy in eV/cell: -52.26
Spin magnetization in μB per formula unit: 5.0
Excess energy over the best structure of this formula in the dataset in meV per atom: 671
Space group: I-42d (122)

Structure (Quantum ESPRESSO input):
```
&SYSTEM
  ibrav = 0, nat = 8, ntyp = 3
/
ATOMIC_SPECIES
V 50.94 V.upf
Sb 121.76 Sb.upf
W 183.84 W.upf
ATOMIC_POSITIONS crystal
V 0.000 0.000 0.000
V 0.750 0.250 0.500
Sb 0.133 0.625 0.008
Sb 0.375 0.383 0.508
Sb 0.617 0.125 0.992
Sb 0.875 0.867 0.492
W 0.250 0.750 0.500
W 0.500 0.500 0.000
CELL_PARAMETERS angstrom
-3.157 3.157 6.091
3.157 -3.157 6.091
3.157 3.157 -6.091
```

---

No. 7
The following is a PBE calculation of Ca5PmIn6 after structural relaxation, from Alexandria. Values from VASP.

Summary:
VASP energy in eV/cell: -36.90
Spin magnetization in μB per formula unit: 0.0
Calculated formation energy in kJ/mol of formula units: -550.6
Space group: C2/m (12)

Structure (Quantum ESPRESSO input):
```
&SYSTEM
  ibrav = 0, nat = 12, ntyp = 3
/
ATOMIC_SPECIES
Ca 40.08 Ca.upf
Pm 145.00 Pm.upf
In 114.82 In.upf
ATOMIC_POSITIONS crystal
Ca 0.000 0.000 0.000
Ca 0.168 0.168 0.667
Ca 0.331 0.331 0.331
Ca 0.669 0.669 0.669
Ca 0.832 0.832 0.333
Pm 0.500 0.500 0.000
In 0.083 0.586 0.834
In 0.248 0.752 0.500
In 0.414 0.917 0.166
In 0.586 0.083 0.834
In 0.752 0.248 0.500
In 0.917 0.414 0.166
CELL_PARAMETERS angstrom
8.578 -3.884 0.000
8.578 3.884 0.000
-1.702 0.000 5.152
```

---

No. 8
The following is a PBE calculation of Sm6SiNi2Br3 after structural relaxation, from Alexandria. Values from VASP.

Summary:
VASP energy in eV/cell: -60.66
Spin magnetization in μB per formula unit: 0.0
Space group: C2/m (12)

Structure (Quantum ESPRESSO input):
```
&SYSTEM
  ibrav = 0, nat = 12, ntyp = 4
/
ATOMIC_SPECIES
Sm 150.36 Sm.upf
Si 28.09 Si.upf
Ni 58.69 Ni.upf
Br 79.90 Br.upf
ATOMIC_POSITIONS crystal
Sm 0.015 0.015 0.235
Sm 0.323 0.323 0.442
Sm 0.339 0.339 0.873
Sm 0.661 0.661 0.127
Sm 0.677 0.677 0.558
Sm 0.985 0.985 0.765
Si 0.500 0.500 0.000
Ni 0.170 0.170 0.345
Ni 0.830 0.830 0.655
Br 0.161 0.161 0.841
Br 0.500 0.500 0.500
Br 0.839 0.839 0.159
CELL_PARAMETERS angstrom
9.497 -2.026 0.000
9.497 2.026 0.000
-2.864 0.000 8.457
```

---

No. 9
The following is a PBE calculation of SmTh3O8 after structural relaxation, from Alexandria. Values from VASP.

Summary:
VASP energy in eV/cell: -109.69
Spin magnetization in μB per formula unit: 0.6
Space group: Pm-3m (221)

Structure (Quantum ESPRESSO input):
```
&SYSTEM
  ibrav = 0, nat = 12, ntyp = 3
/
ATOMIC_SPECIES
Sm 150.36 Sm.upf
Th 232.04 Th.upf
O 16.00 O.upf
ATOMIC_POSITIONS crystal
Sm 0.000 0.000 0.000
Th 0.000 0.500 0.500
Th 0.500 0.000 0.500
Th 0.500 0.500 0.000
O 0.252 0.252 0.252
O 0.252 0.252 0.748
O 0.252 0.748 0.252
O 0.252 0.748 0.748
O 0.748 0.252 0.252
O 0.748 0.252 0.748
O 0.748 0.748 0.252
O 0.748 0.748 0.748
CELL_PARAMETERS angstrom
5.606 0.000 0.000
0.000 5.606 0.000
0.000 0.000 5.606
```

---

No. 10
The following is a PBE calculation of Zr2HgAu after structural relaxation, from Alexandria. Values from VASP.

Summary:
VASP energy in eV/cell: -20.63
Spin magnetization in μB per formula unit: 0.0
Calculated formation energy in kJ/mol of formula units: 4.3
Space group: R3m (160)

Structure (Quantum ESPRESSO input):
```
&SYSTEM
  ibrav = 0, nat = 4, ntyp = 3
/
ATOMIC_SPECIES
Zr 91.22 Zr.upf
Hg 200.59 Hg.upf
Au 196.97 Au.upf
ATOMIC_POSITIONS crystal
Zr 0.000 0.000 0.000
Zr 0.192 0.192 0.192
Hg 0.429 0.429 0.429
Au 0.593 0.593 0.593
CELL_PARAMETERS angstrom
2.057 1.188 6.613
-2.057 1.188 6.613
0.000 -2.376 6.613
```

---

No. 11
The following is a PBE calculation of Sm2Dy5Sc4 after structural relaxation, from Alexandria. Values from VASP.

Summary:
VASP energy in eV/cell: -55.72
Spin magnetization in μB per formula unit: 0.0
Excess energy over the best structure of this formula in the dataset in meV per atom: 135
Calculated formation energy in kJ/mol of formula units: 197.8
Space group: C2/m (12)

Structure (Quantum ESPRESSO input):
```
&SYSTEM
  ibrav = 0, nat = 11, ntyp = 3
/
ATOMIC_SPECIES
Sm 150.36 Sm.upf
Dy 162.50 Dy.upf
Sc 44.96 Sc.upf
ATOMIC_POSITIONS crystal
Sm 0.187 0.187 0.260
Sm 0.813 0.813 0.740
Dy 0.261 0.724 0.332
Dy 0.276 0.739 0.668
Dy 0.500 0.500 0.000
Dy 0.724 0.261 0.332
Dy 0.739 0.276 0.668
Sc 0.220 0.220 0.972
Sc 0.229 0.229 0.633
Sc 0.771 0.771 0.367
Sc 0.780 0.780 0.028
CELL_PARAMETERS angstrom
5.954 -3.305 0.000
5.954 3.305 0.000
-5.954 0.000 8.327
```

---

No. 12
The following is a PBE calculation of CoSe2Br after structural relaxation, from Alexandria. Values from VASP.

Summary:
VASP energy in eV/cell: -16.27
Spin magnetization in μB per formula unit: 0.0
Excess energy over the best structure of this formula in the dataset in meV per atom: 77
Space group: C2/m (12)

Structure (Quantum ESPRESSO input):
```
&SYSTEM
  ibrav = 0, nat = 4, ntyp = 3
/
ATOMIC_SPECIES
Co 58.93 Co.upf
Se 78.96 Se.upf
Br 79.90 Br.upf
ATOMIC_POSITIONS crystal
Co 0.000 0.000 0.000
Se 0.239 0.239 0.838
Se 0.761 0.761 0.162
Br 0.500 0.500 0.500
CELL_PARAMETERS angstrom
3.215 -1.762 0.000
3.215 1.762 0.000
-3.152 0.000 7.147
```

---

No. 13
The following is a PBE calculation of Li2LaTc after structural relaxation, from Alexandria. Values from VASP.

Summary:
VASP energy in eV/cell: -17.76
Spin magnetization in μB per formula unit: 0.0
Excess energy over the best structure of this formula in the dataset in meV per atom: 106
Calculated formation energy in kJ/mol of formula units: 131.1
Space group: Cmm2 (35)

Structure (Quantum ESPRESSO input):
```
&SYSTEM
  ibrav = 0, nat = 4, ntyp = 3
/
ATOMIC_SPECIES
Li 6.94 Li.upf
La 138.91 La.upf
Tc 98.00 Tc.upf
ATOMIC_POSITIONS crystal
Li 0.000 0.000 0.000
Li 0.500 0.500 0.251
La 0.000 0.000 0.575
Tc 0.500 0.500 0.787
CELL_PARAMETERS angstrom
1.752 -2.633 0.000
1.752 2.633 0.000
0.000 0.000 9.402
```

---

No. 14
The following is a PBE calculation of Na3B4C2 after structural relaxation, from Alexandria. Values from VASP.

Summary:
VASP energy in eV/cell: -96.43
Spin magnetization in μB per formula unit: 0.1
Excess energy over the best structure of this formula in the dataset in meV per atom: 2
Calculated formation energy in kJ/mol of formula units: 86.6
Space group: Cmcm (63)

Structure (Quantum ESPRESSO input):
```
&SYSTEM
  ibrav = 0, nat = 18, ntyp = 3
/
ATOMIC_SPECIES
Na 22.99 Na.upf
B 10.81 B.upf
C 12.01 C.upf
ATOMIC_POSITIONS crystal
Na 0.000 0.000 0.000
Na 0.000 0.000 0.500
Na 0.334 0.666 0.503
Na 0.334 0.666 0.997
Na 0.666 0.334 0.003
Na 0.666 0.334 0.497
B 0.104 0.896 0.250
B 0.209 0.791 0.750
B 0.216 0.784 0.250
B 0.446 0.554 0.250
B 0.554 0.446 0.750
B 0.784 0.216 0.750
B 0.791 0.209 0.250
B 0.896 0.104 0.750
C 0.108 0.892 0.750
C 0.449 0.551 0.750
C 0.551 0.449 0.250
C 0.892 0.108 0.250
CELL_PARAMETERS angstrom
1.400 -7.677 0.000
1.400 7.677 0.000
0.000 0.000 8.602
```

---

No. 15
The following is a PBE calculation of LaMg2Re after structural relaxation, from Alexandria. Values from VASP.

Summary:
VASP energy in eV/cell: -18.73
Spin magnetization in μB per formula unit: 0.0
Excess energy over the best structure of this formula in the dataset in meV per atom: 157
Calculated formation energy in kJ/mol of formula units: 176.7
Space group: Fm-3m (225)

Structure (Quantum ESPRESSO input):
```
&SYSTEM
  ibrav = 0, nat = 4, ntyp = 3
/
ATOMIC_SPECIES
La 138.91 La.upf
Mg 24.30 Mg.upf
Re 186.21 Re.upf
ATOMIC_POSITIONS crystal
La 0.000 0.000 0.000
Mg 0.250 0.250 0.250
Mg 0.750 0.750 0.750
Re 0.500 0.500 0.500
CELL_PARAMETERS angstrom
0.000 3.491 3.491
3.491 0.000 3.491
3.491 3.491 0.000
```

---

No. 16
The following is a PBE calculation of TlNi2Br8 after structural relaxation, from Alexandria. Values from VASP.

Summary:
VASP energy in eV/cell: -30.00
Spin magnetization in μB per formula unit: 2.9
Space group: C2/m (12)

Structure (Quantum ESPRESSO input):
```
&SYSTEM
  ibrav = 0, nat = 11, ntyp = 3
/
ATOMIC_SPECIES
Tl 204.38 Tl.upf
Ni 58.69 Ni.upf
Br 79.90 Br.upf
ATOMIC_POSITIONS crystal
Tl 0.000 0.000 0.000
Ni 0.145 0.145 0.631
Ni 0.855 0.855 0.369
Br 0.032 0.659 0.208
Br 0.118 0.118 0.383
Br 0.341 0.968 0.792
Br 0.395 0.395 0.608
Br 0.605 0.605 0.392
Br 0.659 0.032 0.208
Br 0.882 0.882 0.617
Br 0.968 0.341 0.792
CELL_PARAMETERS angstrom
4.621 -4.820 0.000
4.621 4.820 0.000
-0.315 0.000 9.676
```

---

No. 17
The following is a PBE calculation of V4Os3Ru after structural relaxation, from Alexandria. Values from VASP.

Summary:
VASP energy in eV/cell: -81.33
Spin magnetization in μB per formula unit: 1.8
Calculated formation energy in kJ/mol of formula units: -182.0
Space group: Pmmm (47)

Structure (Quantum ESPRESSO input):
```
&SYSTEM
  ibrav = 0, nat = 8, ntyp = 3
/
ATOMIC_SPECIES
V 50.94 V.upf
Os 190.23 Os.upf
Ru 101.07 Ru.upf
ATOMIC_POSITIONS crystal
V 0.000 0.000 0.000
V 0.000 0.000 0.500
V 0.000 0.500 0.248
V 0.000 0.500 0.752
Os 0.500 0.000 0.253
Os 0.500 0.000 0.747
Os 0.500 0.500 0.000
Ru 0.500 0.500 0.500
CELL_PARAMETERS angstrom
3.005 0.000 0.000
0.000 4.284 0.000
0.000 0.000 8.565
```

---

No. 18
The following is a PBE calculation of Cs2BaPdBr6 after structural relaxation, from Alexandria. Values from VASP.

Summary:
VASP energy in eV/cell: -32.67
Spin magnetization in μB per formula unit: 2.0
Space group: Fm-3m (225)

Structure (Quantum ESPRESSO input):
```
&SYSTEM
  ibrav = 0, nat = 10, ntyp = 4
/
ATOMIC_SPECIES
Cs 132.91 Cs.upf
Ba 137.33 Ba.upf
Pd 106.42 Pd.upf
Br 79.90 Br.upf
ATOMIC_POSITIONS crystal
Cs 0.250 0.250 0.250
Cs 0.750 0.750 0.750
Ba 0.000 0.000 0.000
Pd 0.500 0.500 0.500
Br 0.270 0.270 0.730
Br 0.270 0.730 0.270
Br 0.270 0.730 0.730
Br 0.730 0.270 0.270
Br 0.730 0.270 0.730
Br 0.730 0.730 0.270
CELL_PARAMETERS angstrom
0.000 5.838 5.838
5.838 0.000 5.838
5.838 5.838 0.000
```

---

No. 19
The following is a PBE calculation of CePmRu after structural relaxation, from Alexandria. Values from VASP.

Summary:
VASP energy in eV/cell: -82.46
Spin magnetization in μB per formula unit: 0.2
Excess energy over the best structure of this formula in the dataset in meV per atom: 2
Calculated formation energy in kJ/mol of formula units: -63.0
Space group: P2_1/c (14)

Structure (Quantum ESPRESSO input):
```
&SYSTEM
  ibrav = 0, nat = 12, ntyp = 3
/
ATOMIC_SPECIES
Ce 140.12 Ce.upf
Pm 145.00 Pm.upf
Ru 101.07 Ru.upf
ATOMIC_POSITIONS crystal
Ce 0.237 0.121 0.483
Ce 0.237 0.379 0.983
Ce 0.763 0.621 0.017
Ce 0.763 0.879 0.517
Pm 0.272 0.631 0.525
Pm 0.272 0.869 0.025
Pm 0.728 0.131 0.975
Pm 0.728 0.369 0.475
Ru 0.052 0.128 0.743
Ru 0.052 0.372 0.243
Ru 0.948 0.628 0.757
Ru 0.948 0.872 0.257
CELL_PARAMETERS angstrom
5.766 0.000 0.000
0.000 8.636 0.000
-2.800 0.000 6.654
```

---

No. 20
The following is a PBE calculation of PaNbHg after structural relaxation, from Alexandria. Values from VASP.

Summary:
VASP energy in eV/cell: -19.42
Spin magnetization in μB per formula unit: 0.0
Excess energy over the best structure of this formula in the dataset in meV per atom: 0
Calculated formation energy in kJ/mol of formula units: 42.8
Space group: I4mm (107)

Structure (Quantum ESPRESSO input):
```
&SYSTEM
  ibrav = 0, nat = 3, ntyp = 3
/
ATOMIC_SPECIES
Pa 231.04 Pa.upf
Nb 92.91 Nb.upf
Hg 200.59 Hg.upf
ATOMIC_POSITIONS crystal
Pa 0.000 0.000 0.000
Nb 0.334 0.334 0.000
Hg 0.680 0.680 0.000
CELL_PARAMETERS angstrom
-1.519 1.519 7.105
1.519 -1.519 7.105
1.519 1.519 -7.105
```